# TbCeMg2Hg4 (PBE-GGA, relaxed)
data_TbCeMg2Hg4
_chemical_formula_sum 'Tb3 Ce3 Mg6 Hg12'
_symmetry_space_group_name_H-M 'R -3 m'
_symmetry_Int_Tables_number 166
_symmetry_space_group_name_Hall '-R 3 2"'
_cell_length_a 5.1306
_cell_length_b 5.1306
_cell_length_c 25.2541
_cell_angle_alpha 90.00
_cell_angle_beta 90.00
_cell_angle_gamma 120.00
loop_
_atom_site_label
_atom_site_type_symbol
_atom_site_fract_x
_atom_site_fract_y
_atom_site_fract_z
Tb1 Tb 0.0000 0.0000 0.0000
Ce1 Ce 0.0000 0.0000 0.5000
Mg1 Mg 0.0000 0.0000 0.2504
Hg1 Hg 0.0000 0.0000 0.1227
Hg2 Hg 0.0000 0.0000 0.3732
# ρ   9.95 g/cm3
# ΔH_f (0 K)   -424.8 meV/atom

---

# Ce2TeO2 (PBE-GGA, relaxed)
data_Ce2TeO2
_chemical_formula_sum 'Ce4 Te2 O4'
_symmetry_space_group_name_H-M 'I 4/m m m'
_symmetry_Int_Tables_number 139
_symmetry_space_group_name_Hall '-I 4 2'
_cell_length_a 4.042
_cell_length_b 4.042
_cell_length_c 12.875
_cell_angle_alpha 90.00
_cell_angle_beta 90.00
_cell_angle_gamma 90.00
loop_
_atom_site_label
_atom_site_type_symbol
_atom_site_fract_x
_atom_site_fract_y
_atom_site_fract_z
Ce1 Ce 0.000 0.000 0.157
Te1 Te 0.000 0.000 0.500
O1 O 0.000 0.500 0.250
# ΔE_f (raw)   -2.837 eV/atom
# ρ   6.94 g/cm3

---

no.,spin magnetization (μB/cell)
1,2.732
2,4.008